No. 1
Material: Sr6Ca
Method: DFT, PBE
State: optimized geometry Values from VASP.

The structure in Quantum ESPRESSO input format:
```
&SYSTEM
  ibrav = 0, nat = 7, ntyp = 2
/
ATOMIC_SPECIES
Sr 87.62 Sr.upf
Ca 40.08 Ca.upf
ATOMIC_POSITIONS angstrom
Sr -0.012 0.454 2.124
Sr -0.038 1.399 6.155
Sr -0.005 6.267 0.675
Sr 2.055 -0.940 8.931
Sr 2.088 3.928 3.451
Sr 2.062 4.873 7.482
Ca 2.079 -1.895 4.803
CELL_PARAMETERS angstrom
4.218 0.000 0.000
-2.109 9.116 0.000
-0.060 -3.789 9.606
```

## Properties
- VASP energy: -1.721 eV/atom
- Distance to the lowest polymorph of the same formula: 0 meV/atom
- SG: P-1, No. 2
- Calculated density: 2.54 g cm⁻³
- ΔE_f: 0.01 eV per atom

No. 2
Material: SrCoTc
Method: DFT, PBE
State: optimized geometry Values from VASP.

The structure in Quantum ESPRESSO input format:
```
&SYSTEM
  ibrav = 0, nat = 6, ntyp = 3
/
ATOMIC_SPECIES
Sr 87.62 Sr.upf
Co 58.93 Co.upf
Tc 98.00 Tc.upf
ATOMIC_POSITIONS angstrom
Sr 1.086 1.086 1.187
Sr 3.259 3.259 5.959
Co 1.086 1.086 4.545
Co 3.259 3.259 2.601
Tc 1.086 3.259 3.573
Tc 3.259 1.086 3.573
CELL_PARAMETERS angstrom
4.345 0.000 0.000
0.000 4.345 0.000
0.000 0.000 7.147
```

## Properties
- VASP energy: -6.112 eV/atom
- Distance to the lowest polymorph of the same formula: 0 meV/atom
- SG: P4/nmm, No. 129
- Calculated density: 6.02 g cm⁻³
- ΔE_f: 0.27 eV per atom

No. 3
Material: PmSmPtAu
Method: DFT, PBE
State: optimized geometry Values from VASP.

The structure in Quantum ESPRESSO input format:
```
&SYSTEM
  ibrav = 0, nat = 8, ntyp = 4
/
ATOMIC_SPECIES
Pm 145.00 Pm.upf
Sm 150.36 Sm.upf
Pt 195.08 Pt.upf
Au 196.97 Au.upf
ATOMIC_POSITIONS angstrom
Pm 0.000 0.000 0.000
Pm 0.000 1.945 5.461
Sm 2.333 0.000 3.006
Sm 2.333 1.945 8.467
Pt 0.000 0.000 7.942
Pt 0.000 1.945 2.481
Au 2.333 0.000 6.036
Au 2.333 1.945 0.575
CELL_PARAMETERS angstrom
4.665 0.000 0.000
0.000 3.890 0.000
0.000 0.000 10.921
```

## Properties
- VASP energy: -5.703 eV/atom
- Distance to the lowest polymorph of the same formula: 0 meV/atom
- SG: Amm2, No. 38
- Calculated density: 11.52 g cm⁻³
- ΔE_f: -1.01 eV per atom

No. 4
Material: ZrTl2Ni
Method: DFT, PBE
State: optimized geometry Values from VASP.

The structure in Quantum ESPRESSO input format:
```
&SYSTEM
  ibrav = 0, nat = 8, ntyp = 3
/
ATOMIC_SPECIES
Zr 91.22 Zr.upf
Tl 204.38 Tl.upf
Ni 58.69 Ni.upf
ATOMIC_POSITIONS angstrom
Zr 0.000 0.000 0.000
Zr 5.559 1.592 0.000
Tl 0.585 0.000 3.405
Tl 2.387 1.592 1.322
Tl 6.144 1.592 3.405
Tl 7.946 0.000 1.322
Ni -1.293 1.592 2.364
Ni 4.266 0.000 2.364
CELL_PARAMETERS angstrom
11.118 0.000 0.000
0.000 3.185 0.000
-2.587 0.000 4.727
```

## Properties
- VASP energy: -4.595 eV/atom
- SG: C2/m, No. 12
- Calculated density: 11.08 g cm⁻³
- ΔE_f: 0.17 eV per atom

Question: Which of these has the lowest ΔE_f?
Answer: PmSmPtAu

Question: The highest ΔE_f belongs to which entry?
Answer: SrCoTc

Question: What is the VASP energy in the second record?
Answer: -6.112 eV/atom

Question: Among the records above, which one has the highest calculated density?
Answer: PmSmPtAu